YFeSi2 | PBE-GGA | relaxed

Calculated values
DOS at the Fermi energy: 6.29 states/eV/cell
energy relative to the elements, uncorrected: -0.6616 eV per atom
total magnetic moment: 0.00 Bohr magnetons per cell

a b c (Å): 6.7631 3.8911 5.4710
angles (deg): 90.00 114.15 90.00
Space group C2/m (No. 12)
Unique sites:
Y: 0.0000 0.0000 0.0000 (multiplicity 2)
Fe: 0.0000 0.5000 0.5000 (multiplicity 2)
Si: 0.2078 0.0000 0.6226 (multiplicity 4)